Run P
Here is ScPdS2N after structural relaxation from Alexandria via LeMat-Bulk. Energies are from PBE.

Calculated values
The crystal system is tetragonal. The calculated density is 4.36 Mg/m³. The value obtained for the total magnetic moment is 0.00 μB per cell.

Cell lengths 4.8281, 4.8281, 3.7467 Å; angles 90.00, 90.00, 90.00 degrees
Sites, in units of the cell vectors:
Sc  0.5000  0.5000  0.5000
S  0.0000  0.5000  0.0000
S  0.5000  0.0000  0.0000
Pd  0.0000  0.0000  0.0000
N  0.0000  0.0000  0.5000

---

Run Q
Here is ScPdS2N after structural relaxation from Alexandria via LeMat-Bulk. Energies are from PBE.

Calculated values
The crystal system is tetragonal. The calculated density is 3.92 Mg/m³. The value obtained for the total magnetic moment is 0.00 μB per cell.

Cell lengths 4.9200, 4.9200, 4.0166 Å; angles 90.00, 90.00, 90.00 degrees
Sites, in units of the cell vectors:
Sc  0.0000  0.0000  0.0000
S  0.0000  0.5000  0.0000
S  0.5000  0.0000  0.0000
Pd  0.5000  0.5000  0.5000
N  0.0000  0.0000  0.5000

---

Most stable structure: run P